# PmHoHgPd (GGA-PBE, relaxed)
data_PmHoHgPd
_chemical_formula_sum 'Pm4 Ho4 Hg4 Pd4'
_cell_length_a 7.310
_cell_length_b 7.310
_cell_length_c 7.310
_cell_angle_alpha 90.00
_cell_angle_beta 90.00
_cell_angle_gamma 90.00
_symmetry_space_group_name_H-M 'F -4 3 m'
_symmetry_Int_Tables_number 216
_symmetry_space_group_name_Hall 'F -4 2 3'
loop_
_atom_site_label
_atom_site_fract_x
_atom_site_fract_y
_atom_site_fract_z
Pm1 0.000 0.000 0.000
Ho1 0.000 0.000 0.500
Hg1 0.250 0.250 0.250
Pd1 0.250 0.250 0.750
# ΔE_f: -2.5 eV per formula unit
# ΔE to the lowest computed polymorph: 46.8 meV per atom
# DFT total energy: -69.10 eV for the cell shown

***

# AlIn2Cu2 (GGA-PBE, relaxed)
data_AlIn2Cu2
_chemical_formula_sum 'Al2 In4 Cu4'
_cell_length_a 6.646
_cell_length_b 6.646
_cell_length_c 4.121
_cell_angle_alpha 90.00
_cell_angle_beta 90.00
_cell_angle_gamma 90.00
_symmetry_space_group_name_H-M 'P 4/m b m'
_symmetry_Int_Tables_number 127
_symmetry_space_group_name_Hall '-P 4 2ab'
loop_
_atom_site_label
_atom_site_fract_x
_atom_site_fract_y
_atom_site_fract_z
Al1 0.000 0.000 0.000
In1 0.168 0.332 0.500
Cu1 0.137 0.637 0.000
# ΔE_f: 0.4 eV per formula unit
# ΔE to the lowest computed polymorph: 0.0 meV per atom
# DFT total energy: -33.95 eV for the cell shown

***

# Sr2AsPb (GGA-PBE, relaxed)
data_Sr2AsPb
_chemical_formula_sum 'Sr2 As1 Pb1'
_cell_length_a 4.067
_cell_length_b 4.067
_cell_length_c 7.526
_cell_angle_alpha 90.00
_cell_angle_beta 90.00
_cell_angle_gamma 90.00
_symmetry_space_group_name_H-M 'P 4/m m m'
_symmetry_Int_Tables_number 123
_symmetry_space_group_name_Hall '-P 4 2'
loop_
_atom_site_label
_atom_site_fract_x
_atom_site_fract_y
_atom_site_fract_z
Sr1 0.000 0.000 0.216
As1 0.500 0.500 0.000
Pb1 0.500 0.500 0.500
# ΔE_f: -2.9 eV per formula unit
# ΔE to the lowest computed polymorph: 0.0 meV per atom
# DFT total energy: -14.60 eV for the cell shown

***

# K2USeO2 (GGA-PBE, relaxed)
data_K2USeO2
_chemical_formula_sum 'K2 U1 Se1 O2'
_cell_length_a 4.444
_cell_length_b 4.444
_cell_length_c 6.399
_cell_angle_alpha 90.00
_cell_angle_beta 90.00
_cell_angle_gamma 90.00
_symmetry_space_group_name_H-M 'P 4/m m m'
_symmetry_Int_Tables_number 123
_symmetry_space_group_name_Hall '-P 4 2'
loop_
_atom_site_label
_atom_site_fract_x
_atom_site_fract_y
_atom_site_fract_z
K1 0.000 0.000 0.225
U1 0.500 0.500 0.500
Se1 0.500 0.500 0.000
O1 0.000 0.500 0.500
# DFT total energy: -38.78 eV for the cell shown
# formation energy without anion corrections: -1982 meV per atom

***

# HfSbTe2N (GGA-PBE, relaxed)
data_HfSbTe2N
_chemical_formula_sum 'Hf1 Sb1 Te2 N1'
_cell_length_a 5.744
_cell_length_b 5.744
_cell_length_c 3.979
_cell_angle_alpha 90.00
_cell_angle_beta 90.00
_cell_angle_gamma 90.00
_symmetry_space_group_name_H-M 'P 4/m m m'
_symmetry_Int_Tables_number 123
_symmetry_space_group_name_Hall '-P 4 2'
loop_
_atom_site_label
_atom_site_fract_x
_atom_site_fract_y
_atom_site_fract_z
Hf1 0.000 0.000 0.000
Sb1 0.500 0.500 0.500
Te1 0.000 0.500 0.000
N1 0.000 0.000 0.500
# ΔE to the lowest computed polymorph: 0.0 meV per atom
# DFT total energy: -28.68 eV for the cell shown
# formation energy without anion corrections: 1 meV per atom

***

# TaMo (GGA-PBE, relaxed)
data_TaMo
_chemical_formula_sum 'Ta4 Mo4'
_cell_length_a 3.223
_cell_length_b 3.223
_cell_length_c 13.044
_cell_angle_alpha 90.00
_cell_angle_beta 90.00
_cell_angle_gamma 90.00
_symmetry_space_group_name_H-M 'P 4 m m'
_symmetry_Int_Tables_number 99
loop_
_symmetry_equiv_pos_as_xyz
'x,y,z'
'-y,x,z'
'-x,-y,z'
'y,-x,z'
'-x,y,z'
'y,x,z'
'x,-y,z'
'-y,-x,z'
loop_
_atom_site_label
_atom_site_fract_x
_atom_site_fract_y
_atom_site_fract_z
Ta1 0.000 0.000 0.000
Ta2 0.000 0.000 0.246
Ta3 0.000 0.000 0.733
Ta4 0.500 0.500 0.866
Mo1 0.000 0.000 0.490
Mo2 0.500 0.500 0.122
Mo3 0.500 0.500 0.372
Mo4 0.500 0.500 0.611
# ΔE_f: -0.2 eV per formula unit
# DFT total energy: -91.73 eV for the cell shown

***

# NaSr2Ca (GGA-PBE, relaxed)
data_NaSr2Ca
_chemical_formula_sum 'Na2 Sr4 Ca2'
_cell_length_a 4.013
_cell_length_b 3.964
_cell_length_c 24.026
_cell_angle_alpha 90.00
_cell_angle_beta 90.00
_cell_angle_gamma 90.00
_symmetry_space_group_name_H-M 'A m m 2'
_symmetry_Int_Tables_number 38
loop_
_symmetry_equiv_pos_as_xyz
'x,y,z'
'-x,-y,z'
'-x,y,z'
'x,-y,z'
'x,y+1/2,z+1/2'
'-x,-y+1/2,z+1/2'
'-x,y+1/2,z+1/2'
'x,-y+1/2,z+1/2'
loop_
_atom_site_label
_atom_site_fract_x
_atom_site_fract_y
_atom_site_fract_z
Na1 0.000 0.000 0.000
Sr1 0.500 0.000 0.383
Sr2 0.500 0.000 0.616
Ca1 0.000 0.000 0.760
# ΔE_f: 0.4 eV per formula unit
# ΔE to the lowest computed polymorph: 76.3 meV per atom
# DFT total energy: -12.61 eV for the cell shown

***

# ZrTi2Ir3 (GGA-PBE, relaxed)
data_ZrTi2Ir3
_chemical_formula_sum 'Zr1 Ti2 Ir3'
_cell_length_a 3.011
_cell_length_b 3.011
_cell_length_c 10.574
_cell_angle_alpha 90.00
_cell_angle_beta 90.00
_cell_angle_gamma 90.00
_symmetry_space_group_name_H-M 'P 4/m m m'
_symmetry_Int_Tables_number 123
_symmetry_space_group_name_Hall '-P 4 2'
loop_
_atom_site_label
_atom_site_fract_x
_atom_site_fract_y
_atom_site_fract_z
Zr1 0.000 0.000 0.000
Ti1 0.000 0.000 0.341
Ir1 0.500 0.500 0.195
Ir2 0.500 0.500 0.500
# ΔE_f: -5.1 eV per formula unit
# DFT total energy: -55.98 eV for the cell shown

***

# MnP3Rh (GGA-PBE, relaxed)
data_MnP3Rh
_chemical_formula_sum 'Mn1 P3 Rh1'
_cell_length_a 4.298
_cell_length_b 4.298
_cell_length_c 4.298
_cell_angle_alpha 90.00
_cell_angle_beta 90.00
_cell_angle_gamma 90.00
_symmetry_space_group_name_H-M 'P m -3 m'
_symmetry_Int_Tables_number 221
_symmetry_space_group_name_Hall '-P 4 2 3'
loop_
_atom_site_label
_atom_site_fract_x
_atom_site_fract_y
_atom_site_fract_z
Mn1 0.000 0.000 0.000
P1 0.000 0.000 0.500
Rh1 0.500 0.500 0.500
# ΔE_f: 2.6 eV per formula unit
# ΔE to the lowest computed polymorph: 0.0 meV per atom
# DFT total energy: -30.10 eV for the cell shown

***

# La3TbC (GGA-PBE, relaxed)
data_La3TbC
_chemical_formula_sum 'La3 Tb1 C1'
_cell_length_a 5.326
_cell_length_b 5.326
_cell_length_c 5.326
_cell_angle_alpha 90.00
_cell_angle_beta 90.00
_cell_angle_gamma 90.00
_symmetry_space_group_name_H-M 'P m -3 m'
_symmetry_Int_Tables_number 221
_symmetry_space_group_name_Hall '-P 4 2 3'
loop_
_atom_site_label
_atom_site_fract_x
_atom_site_fract_y
_atom_site_fract_z
La1 0.000 0.000 0.500
Tb1 0.500 0.500 0.500
C1 0.000 0.000 0.000
# ΔE_f: 0.4 eV per formula unit
# DFT total energy: -28.19 eV for the cell shown

***

# K2TlRu (GGA-PBE, relaxed)
data_K2TlRu
_chemical_formula_sum 'K2 Tl1 Ru1'
_cell_length_a 3.491
_cell_length_b 4.151
_cell_length_c 10.104
_cell_angle_alpha 90.00
_cell_angle_beta 99.29
_cell_angle_gamma 90.00
_symmetry_space_group_name_H-M 'P 1 m 1'
_symmetry_Int_Tables_number 6
loop_
_symmetry_equiv_pos_as_xyz
'x,y,z'
'x,-y,z'
loop_
_atom_site_label
_atom_site_fract_x
_atom_site_fract_y
_atom_site_fract_z
K1 0.000 0.000 0.000
K2 0.297 0.500 0.588
Tl1 0.646 0.000 0.309
Ru1 0.130 0.500 0.275
# ΔE_f: 1.9 eV per formula unit
# ΔE to the lowest computed polymorph: 22.6 meV per atom
# DFT total energy: -11.92 eV for the cell shown

***

# AlCu5Au6 (GGA-PBE, relaxed)
data_AlCu5Au6
_chemical_formula_sum 'Al2 Cu10 Au12'
_cell_length_a 7.904
_cell_length_b 12.840
_cell_length_c 4.270
_cell_angle_alpha 90.00
_cell_angle_beta 122.34
_cell_angle_gamma 90.00
_symmetry_space_group_name_H-M 'C 1 2/m 1'
_symmetry_Int_Tables_number 12
loop_
_symmetry_equiv_pos_as_xyz
'x,y,z'
'-x,-y,-z'
'-x,y,-z'
'x,-y,z'
'x+1/2,y+1/2,z'
'-x+1/2,-y+1/2,-z'
'-x+1/2,y+1/2,-z'
'x+1/2,-y+1/2,z'
loop_
_atom_site_label
_atom_site_fract_x
_atom_site_fract_y
_atom_site_fract_z
Al1 0.000 0.000 0.000
Cu1 0.000 0.169 0.500
Cu2 0.000 0.333 0.000
Cu3 0.000 0.500 0.500
Au1 0.248 0.000 0.748
Au2 0.249 0.166 0.248
# ΔE_f: -1.4 eV per formula unit
# ΔE to the lowest computed polymorph: 6.2 meV per atom
# DFT total energy: -90.58 eV for the cell shown

***

DOS at the Fermi energy values, unit states/eV per atom, following the record order: 0.70, 0.43, 0.53, 0.86, 0.60, 0.94, 0.94, 0.74, 0.70, 1.76, 0.69, 0.35.